Record 1
A relaxed Zn2Ir crystal. Source: the Alexandria database, functional PBE.

For the calculated volume, the calculation gives 41.3 Å³/f.u. The energy comes out at -3.756 eV/atom.

The structure belongs to space group Fd-3m (No. 227, origin choice 2); the cell edges are 6.913, 6.913 and 6.913 Å and the angles 90.00°, 90.00° and 90.00°. The distinct sites, in fractional coordinates, are Zn at (0.000, 0.000, 0.000) and Ir at (0.125, 0.125, 0.625).

=====

Record 2
A relaxed FeAsHBr2 crystal. Source: the Alexandria database, functional PBE.

For the calculated volume, the calculation gives 92.5 Å³/f.u. The energy comes out at -3.276 eV/atom.

The structure belongs to space group P4/mmm (No. 123); the cell edges are 5.162, 5.162 and 3.472 Å and the angles 90.00°, 90.00° and 90.00°. The distinct sites, in fractional coordinates, are Fe at (0.000, 0.000, 0.000), As at (0.500, 0.500, 0.000), H at (0.500, 0.500, 0.500) and Br at (0.000, 0.500, 0.500).

=====

Record 3
A relaxed CaErSe2 crystal. Source: the Alexandria database, functional PBE.

For the calculated volume, the calculation gives 98.3 Å³/f.u. The energy comes out at -5.233 eV/atom.

The structure belongs to space group R-3m (No. 166, hexagonal axes); the cell edges are 4.0846, 4.0846 and 20.4046 Å and the angles 90.00°, 90.00° and 120.00°. The distinct sites, in fractional coordinates, are Ca at (0.0000, 0.0000, 0.0000), Er at (0.0000, 0.0000, 0.5000) and Se at (0.0000, 0.0000, 0.2475).

=====

Record 4
A relaxed SnCSe2Br crystal. Source: the Alexandria database, functional PBE.

For the calculated volume, the calculation gives 103.6 Å³/f.u. The energy comes out at -3.566 eV/atom.

The structure belongs to space group P4/mmm (No. 123); the cell edges are 4.481, 4.481 and 5.160 Å and the angles 90.00°, 90.00° and 90.00°. The distinct sites, in fractional coordinates, are Sn at (0.000, 0.000, 0.000), C at (0.500, 0.500, 0.500), Se at (0.000, 0.500, 0.500) and Br at (0.500, 0.500, 0.000).

=====

Record 5
A relaxed NbAg2F8 crystal. Source: the Alexandria database, functional PBE.

For the calculated volume, the calculation gives 150.3 Å³/f.u. The energy comes out at -4.809 eV/atom.

The structure belongs to space group C2/m (No. 12); the cell edges are 15.925, 3.732 and 5.174 Å and the angles 90.00°, 102.15° and 90.00°. The distinct sites, in fractional coordinates, are Nb at (0.000, 0.000, 0.000), Ag at (0.191, 0.500, 0.730), F at (0.021, 0.500, 0.809), F at (0.080, 0.000, 0.336), F at (0.113, 0.000, 0.881) and F at (0.233, 0.500, 0.272).

=====

Record 6
A relaxed CaPtW2 crystal. Source: the Alexandria database, functional PBE.

For the calculated volume, the calculation gives 72.1 Å³/f.u. The energy comes out at -8.010 eV/atom.

The structure belongs to space group Cmmm (No. 65); the cell edges are 3.703, 4.108 and 9.482 Å and the angles 90.00°, 90.00° and 90.00°. The distinct sites, in fractional coordinates, are Ca at (0.000, 0.000, 0.000), Pt at (0.000, 0.000, 0.500) and W at (0.000, 0.500, 0.280).

=====

Record 7
A relaxed LaGe3Pt crystal. Source: the Alexandria database, functional PBE.

For the calculated volume, the calculation gives 121.9 Å³/f.u. The energy comes out at -5.079 eV/atom.

The structure belongs to space group Pm-3m (No. 221); the cell edges are 4.958, 4.958 and 4.958 Å and the angles 90.00°, 90.00° and 90.00°. The distinct sites, in fractional coordinates, are La at (0.000, 0.000, 0.000), Ge at (0.000, 0.500, 0.500) and Pt at (0.500, 0.500, 0.500).

=====

Record 8
A relaxed LaYN3 crystal. Source: the Alexandria database, functional PBE.

For the calculated volume, the calculation gives 78.5 Å³/f.u. The energy comes out at -6.992 eV/atom.

The structure belongs to space group Pm-3m (No. 221); the cell edges are 4.282, 4.282 and 4.282 Å and the angles 90.00°, 90.00° and 90.00°. The distinct sites, in fractional coordinates, are La at (0.000, 0.000, 0.000), Y at (0.500, 0.500, 0.500) and N at (0.000, 0.000, 0.500).

=====

Record 9
A relaxed Zr4BI5 crystal. Source: the Alexandria database, functional PBE.

For the calculated volume, the calculation gives 293.3 Å³/f.u. The energy comes out at -5.648 eV/atom.

The structure belongs to space group C2/m (No. 12); the cell edges are 18.894, 3.833 and 8.305 Å and the angles 90.00°, 102.80° and 90.00°. The distinct sites, in fractional coordinates, are Zr at (0.002, 0.000, 0.319), Zr at (0.123, 0.500, 0.558), B at (0.000, 0.500, 0.500), I at (0.000, 0.500, 0.000), I at (0.158, 0.000, 0.832) and I at (0.163, 0.000, 0.325).

=====

Record 10
A relaxed Cs3BaAc2O6 crystal. Source: the Alexandria database, functional PBE.

For the calculated volume, the calculation gives 284.4 Å³/f.u. The energy comes out at -5.747 eV/atom.

The structure belongs to space group C2/m (No. 12); the cell edges are 6.857, 11.843 and 7.375 Å and the angles 90.00°, 108.21° and 90.00°. The distinct sites, in fractional coordinates, are Cs at (0.000, 0.000, 0.000), Cs at (0.000, 0.335, 0.000), Ba at (0.000, 0.500, 0.500), Ac at (0.000, 0.167, 0.500), O at (0.202, 0.000, 0.680) and O at (0.240, 0.321, 0.683).

=====

Record 11
A relaxed Cs3AgPb2F9 crystal. Source: the Alexandria database, functional PBE.

For the calculated volume, the calculation gives 323.0 Å³/f.u. The energy comes out at -4.292 eV/atom.

The structure belongs to space group P-3m1 (No. 164); the cell edges are 6.7161, 6.7161 and 8.2696 Å and the angles 90.00°, 90.00° and 120.00°. The distinct sites, in fractional coordinates, are Cs at (0.0000, 0.0000, 0.0000), Cs at (0.3333, 0.6667, 0.6559), Ag at (0.0000, 0.0000, 0.5000), Pb at (0.3333, 0.6667, 0.1751), F at (0.0000, 0.5000, 0.0000) and F at (0.1654, 0.3307, 0.3357).

=====

Look up the energy of the fifth one.
-4.809 eV/atom